Run w
Entry from Alexandria: crystalline Ba2AlIn at its relaxed geometry (PBE).

It has space group Amm2 (No. 38), with a = 8.042 Å, b = 5.380 Å, c = 14.506 Å, α = 90.00°, β = 90.00° and γ = 90.00°. The asymmetric unit holds Ba at (0.000, 0.000, 0.000), Ba at (0.000, 0.000, 0.288), Ba at (0.500, 0.000, 0.142), Ba at (0.500, 0.000, 0.434), Al at (0.166, 0.000, 0.628) and In at (0.316, 0.000, 0.800).

The calculation puts the density at 4.41 g/cm3.

Run x
Entry from Alexandria: crystalline Ba2AlIn at its relaxed geometry (PBE).

It has space group Fm-3m (No. 225), with a = 8.445 Å, b = 8.445 Å, c = 8.445 Å, α = 90.00°, β = 90.00° and γ = 90.00°. The asymmetric unit holds Ba at (0.250, 0.250, 0.250), Al at (0.000, 0.000, 0.000) and In at (0.000, 0.000, 0.500).

The calculation puts the density at 4.59 g/cm3.

Run y
Entry from Alexandria: crystalline Ba2AlIn at its relaxed geometry (PBE).

It has space group F-43m (No. 216), with a = 8.287 Å, b = 8.287 Å, c = 8.287 Å, α = 90.00°, β = 90.00° and γ = 90.00°. The asymmetric unit holds Ba at (0.000, 0.000, 0.000), Ba at (0.250, 0.250, 0.250), Al at (0.250, 0.250, 0.750) and In at (0.000, 0.000, 0.500).

The calculation puts the density at 4.86 g/cm3.

run y is the least stable structure shown above.